An optimized crystal structure of MnCd2I. Source: the Alexandria database, functional PBE.

## Properties
E_form (uncorrected)	313	meV/atom
offset from the most stable computed form	0.000	eV/atom
mass density	6.05	g/cm3
crystal system	tetragonal
space-group type	No. 122
final energy	-22.597	eV for the cell shown

Cell lengths 6.836, 6.836, 6.836 Å; angles 100.56, 100.56, 129.29 degrees
Element x y z (fractional)
Mn 0.000 0.000 0.000
Mn 0.750 0.250 0.500
Cd 0.080 0.125 0.455
Cd 0.375 0.920 0.045
Cd 0.670 0.625 0.545
Cd 0.875 0.330 0.955
I 0.250 0.750 0.500
I 0.500 0.500 0.000

---

An optimized crystal structure of Mn2CdI6. Source: the Alexandria database, functional PBE.

## Properties
E_form (uncorrected)	-438	meV/atom
mass density	4.37	g/cm3
crystal system	triclinic
space-group type	No. 2
final energy	-32.497	eV for the cell shown

Cell lengths 4.442, 7.565, 12.098 Å; angles 75.45, 79.54, 72.93 degrees
Element x y z (fractional)
Mn 0.176 0.389 0.264
Mn 0.824 0.611 0.736
Cd 0.000 0.000 0.000
I 0.000 0.233 0.766
I 0.000 0.767 0.234
I 0.320 0.743 0.611
I 0.340 0.256 0.065
I 0.660 0.744 0.935
I 0.680 0.257 0.389

---

An optimized crystal structure of MnCdI3. Source: the Alexandria database, functional PBE.

## Properties
E_form (uncorrected)	331	meV/atom
offset from the most stable computed form	0.128	eV/atom
mass density	5.84	g/cm3
crystal system	cubic
space-group type	No. 221
final energy	-13.082	eV for the cell shown

Cell lengths 5.382, 5.382, 5.382 Å; angles 90.00, 90.00, 90.00 degrees
Element x y z (fractional)
Mn 0.000 0.000 0.000
Cd 0.500 0.500 0.500
I 0.000 0.000 0.500
I 0.000 0.500 0.000
I 0.500 0.000 0.000

---

An optimized crystal structure of MnCdI3. Source: the Alexandria database, functional PBE.

## Properties
E_form (uncorrected)	203	meV/atom
offset from the most stable computed form	0.000	eV/atom
mass density	4.45	g/cm3
crystal system	cubic
space-group type	No. 221
final energy	-13.721	eV for the cell shown

Cell lengths 5.893, 5.893, 5.893 Å; angles 90.00, 90.00, 90.00 degrees
Element x y z (fractional)
Mn 0.000 0.000 0.000
Cd 0.500 0.500 0.500
I 0.000 0.500 0.500
I 0.500 0.000 0.500
I 0.500 0.500 0.000

---

An optimized crystal structure of MnCd2I6. Source: the Alexandria database, functional PBE.

## Properties
E_form (uncorrected)	-535	meV/atom
mass density	3.93	g/cm3
crystal system	monoclinic
space-group type	No. 15
final energy	-50.237	eV for the cell shown

Cell lengths 11.470, 11.470, 7.525 Å; angles 109.13, 109.13, 88.85 degrees
Element x y z (fractional)
Mn 0.250 0.750 0.750
Mn 0.750 0.250 0.250
Cd 0.172 0.327 0.420
Cd 0.327 0.172 0.920
Cd 0.673 0.828 0.080
Cd 0.828 0.673 0.580
I 0.062 0.751 0.891
I 0.159 0.340 0.794
I 0.249 0.938 0.609
I 0.252 0.561 0.422
I 0.340 0.159 0.294
I 0.439 0.748 0.078
I 0.561 0.252 0.922
I 0.660 0.841 0.706
I 0.748 0.439 0.578
I 0.751 0.062 0.391
I 0.841 0.660 0.206
I 0.938 0.249 0.109

---

An optimized crystal structure of Mn3CdI9. Source: the Alexandria database, functional PBE.

## Properties
E_form (uncorrected)	-373	meV/atom
mass density	3.99	g/cm3
crystal system	monoclinic
space-group type	No. 9
final energy	-94.435	eV for the cell shown

Cell lengths 12.028, 12.028, 15.471 Å; angles 129.65, 129.65, 47.40 degrees
Element x y z (fractional)
Mn 0.137 0.863 0.500
Mn 0.453 0.883 0.891
Mn 0.636 0.963 0.393
Mn 0.863 0.137 0.000
Mn 0.883 0.453 0.391
Mn 0.963 0.636 0.893
Cd 0.204 0.356 0.151
Cd 0.356 0.204 0.651
I 0.035 0.815 0.900
I 0.054 0.653 0.107
I 0.072 0.347 0.735
I 0.159 0.925 0.711
I 0.161 0.463 0.570
I 0.276 0.535 0.406
I 0.293 0.929 0.480
I 0.347 0.072 0.235
I 0.463 0.161 0.070
I 0.501 0.708 0.963
I 0.535 0.276 0.906
I 0.634 0.764 0.780
I 0.653 0.054 0.607
I 0.708 0.501 0.463
I 0.764 0.634 0.280
I 0.815 0.035 0.400
I 0.925 0.159 0.211
I 0.929 0.293 0.980

---

An optimized crystal structure of MnCdI. Source: the Alexandria database, functional PBE.

## Properties
E_form (uncorrected)	227	meV/atom
mass density	5.73	g/cm3
crystal system	orthorhombic
space-group type	No. 38
final energy	-21.906	eV for the cell shown

Cell lengths 13.262, 3.857, 3.857 Å; angles 59.73, 90.00, 90.00 degrees
Element x y z (fractional)
Mn 0.000 0.000 0.000
Mn 0.500 0.063 0.063
Cd 0.133 0.332 0.332
Cd 0.867 0.332 0.332
I 0.360 0.732 0.732
I 0.640 0.732 0.732

---

An optimized crystal structure of Na2MnCdI6. Source: the Alexandria database, functional PBE.

## Properties
E_form (uncorrected)	-752	meV/atom
mass density	4.48	g/cm3
crystal system	trigonal
space-group type	No. 146
final energy	-29.539	eV for the cell shown

Cell lengths 8.195, 8.195, 8.195 Å; angles 56.88, 56.88, 56.88 degrees
Element x y z (fractional)
Na 0.000 0.000 0.000
Na 0.496 0.496 0.496
Mn 0.801 0.801 0.801
Cd 0.298 0.298 0.298
I 0.058 0.437 0.683
I 0.174 0.923 0.573
I 0.437 0.683 0.058
I 0.573 0.174 0.923
I 0.683 0.058 0.437
I 0.923 0.573 0.174

---

An optimized crystal structure of MnCd2NiI. Source: the Alexandria database, functional PBE.

## Properties
E_form (uncorrected)	606	meV/atom
mass density	5.84	g/cm3
crystal system	tetragonal
space-group type	No. 123
final energy	-15.303	eV for the cell shown

Cell lengths 5.040, 5.040, 5.207 Å; angles 90.00, 90.00, 90.00 degrees
Element x y z (fractional)
Mn 0.000 0.000 0.000
Cd 0.000 0.500 0.500
Cd 0.500 0.000 0.500
Ni 0.500 0.500 0.500
I 0.500 0.500 0.000

---

Copy entry 1 word for word.
An optimized crystal structure of MnCd2I. Source: the Alexandria database, functional PBE.

## Properties
E_form (uncorrected)	313	meV/atom
offset from the most stable computed form	0.000	eV/atom
mass density	6.05	g/cm3
crystal system	tetragonal
space-group type	No. 122
final energy	-22.597	eV for the cell shown

Cell lengths 6.836, 6.836, 6.836 Å; angles 100.56, 100.56, 129.29 degrees
Element x y z (fractional)
Mn 0.000 0.000 0.000
Mn 0.750 0.250 0.500
Cd 0.080 0.125 0.455
Cd 0.375 0.920 0.045
Cd 0.670 0.625 0.545
Cd 0.875 0.330 0.955
I 0.250 0.750 0.500
I 0.500 0.500 0.000